Record 1
CoAgOs2: relaxed, GGA-PBE.

Unit cell a=7.1502 b=7.1502 c=4.9064 alpha=90.00 beta=90.00 gamma=90.00
Space group I-42d (No. 122)
Inequivalent atoms, fractional coordinates:
Co 0.0000 0.0000 0.0000
Ag 0.0000 0.0000 0.5000
Os 0.1902 0.2500 0.1250

Calculated values
Its energy above the most stable polymorph in this dataset is 692 meV per atom.

Record 2
Co2AgOsS: relaxed, GGA-PBE.

Unit cell a=4.6266 b=4.6266 c=4.9167 alpha=90.00 beta=90.00 gamma=90.00
Space group P4/mmm (No. 123)
Inequivalent atoms, fractional coordinates:
Co 0.0000 0.5000 0.0000
Ag 0.0000 0.0000 0.0000
Os 0.0000 0.0000 0.5000
S 0.5000 0.5000 0.5000

Calculated values
Its uncorrected formation energy is 2.256 eV per atom.

Record 3
CoSiAg2Os: relaxed, GGA-PBE.

Unit cell a=4.6242 b=4.6242 c=4.4559 alpha=90.00 beta=90.00 gamma=90.00
Space group P4/mmm (No. 123)
Inequivalent atoms, fractional coordinates:
Co 0.0000 0.0000 0.0000
Si 0.5000 0.5000 0.5000
Ag 0.0000 0.5000 0.5000
Os 0.5000 0.5000 0.0000

Calculated values
Its uncorrected formation energy is 1.171 eV per atom.

Record 4
SrCoAg2Os: relaxed, GGA-PBE.

Unit cell a=4.8007 b=4.8007 c=5.1534 alpha=90.00 beta=90.00 gamma=90.00
Space group P4/mmm (No. 123)
Inequivalent atoms, fractional coordinates:
Sr 0.0000 0.0000 0.0000
Co 0.0000 0.0000 0.5000
Ag 0.0000 0.5000 0.5000
Os 0.5000 0.5000 0.0000

Calculated values
The total energy comes out at -3.65 eV per atom.

Record 5
TlCoAgOs2: relaxed, GGA-PBE.

Unit cell a=5.0051 b=5.0051 c=4.7105 alpha=90.00 beta=90.00 gamma=90.00
Space group P4/mmm (No. 123)
Inequivalent atoms, fractional coordinates:
Tl 0.0000 0.0000 0.0000
Co 0.0000 0.0000 0.5000
Ag 0.5000 0.5000 0.5000
Os 0.0000 0.5000 0.0000

Calculated values
The total energy comes out at -4.29 eV per atom.

Record 6
CoAg2P: relaxed, GGA-PBE.

Unit cell a=2.8770 b=4.7853 c=4.5218 alpha=90.00 beta=92.01 gamma=90.00
Space group P2/m (No. 10)
Inequivalent atoms, fractional coordinates:
Co 0.0000 0.0000 0.0000
Ag 0.2595 0.5000 0.7511
P 0.5000 0.0000 0.5000

Calculated values
The total energy comes out at -4.11 eV per atom.

Record 7
CoAg2P: relaxed, GGA-PBE.

Unit cell a=5.2748 b=8.4271 c=2.7995 alpha=90.00 beta=90.00 gamma=90.00
Space group Cmmm (No. 65)
Inequivalent atoms, fractional coordinates:
Co 0.0000 0.0000 0.0000
Ag 0.2500 0.2500 0.5000
P 0.0000 0.5000 0.0000

Calculated values
The total energy comes out at -4.07 eV per atom.

Record 8
CoAg2P2: relaxed, GGA-PBE.

Unit cell a=3.9279 b=3.9279 c=11.1927 alpha=90.00 beta=90.00 gamma=90.00
Space group I4/mmm (No. 139)
Inequivalent atoms, fractional coordinates:
Co 0.0000 0.0000 0.0000
Ag 0.0000 0.5000 0.2500
P 0.0000 0.0000 0.4057

Calculated values
Its energy above the most stable polymorph in this dataset is 717 meV per atom.

Record 9
CoAg2P: relaxed, GGA-PBE.

Unit cell a=4.0253 b=4.0253 c=7.5180 alpha=90.00 beta=90.00 gamma=90.00
Space group I-4m2 (No. 119)
Inequivalent atoms, fractional coordinates:
Co 0.0000 0.0000 0.0000
Ag 0.0000 0.0000 0.5000
Ag 0.0000 0.5000 0.2500
P 0.0000 0.5000 0.7500

Calculated values
The total energy comes out at -4.13 eV per atom.

Record 10
Co2AgP: relaxed, GGA-PBE.

Unit cell a=3.3145 b=4.5354 c=6.9730 alpha=90.00 beta=90.00 gamma=90.00
Space group Immm (No. 71)
Inequivalent atoms, fractional coordinates:
Co 0.0000 0.0000 0.1948
Ag 0.0000 0.5000 0.0000
P 0.0000 0.5000 0.5000

Calculated values
The total energy comes out at -5.51 eV per atom.

Record 11
Co2AgP: relaxed, GGA-PBE.

Unit cell a=2.7494 b=2.7494 c=25.0532 alpha=90.00 beta=90.00 gamma=120.00
Space group R3m (No. 160, hexagonal axes)
Inequivalent atoms, fractional coordinates:
Co 0.0000 0.0000 0.0000
Co 0.0000 0.0000 0.2557
Ag 0.0000 0.0000 0.4978
P 0.0000 0.0000 0.7287

Calculated values
The total energy comes out at -5.42 eV per atom.

Record 12
Co2AgP: relaxed, GGA-PBE.

Unit cell a=5.8825 b=5.8930 c=2.9492 alpha=90.00 beta=90.00 gamma=90.00
Space group Cmmm (No. 65)
Inequivalent atoms, fractional coordinates:
Co 0.2500 0.2500 0.0000
Ag 0.0000 0.0000 0.5000
P 0.0000 0.5000 0.5000

Calculated values
The total energy comes out at -5.32 eV per atom.

Record 13
CoAg2P: relaxed, GGA-PBE.

Unit cell a=3.2382 b=4.3806 c=8.7973 alpha=90.00 beta=90.00 gamma=90.00
Space group Imm2 (No. 44)
Inequivalent atoms, fractional coordinates:
Co 0.0000 0.0000 0.0000
Ag 0.0000 0.0000 0.4368
Ag 0.0000 0.5000 0.2257
P 0.0000 0.5000 0.6515

Calculated values
The total energy comes out at -4.37 eV per atom.

Record 14
Co2AgP: relaxed, GGA-PBE.

Unit cell a=2.7321 b=2.7321 c=6.6315 alpha=90.00 beta=90.00 gamma=90.00
Space group P4/mmm (No. 123)
Inequivalent atoms, fractional coordinates:
Co 0.0000 0.0000 0.1878
Ag 0.5000 0.5000 0.5000
P 0.5000 0.5000 0.0000

Calculated values
The total energy comes out at -5.70 eV per atom.

Record 15
Co2AgP: relaxed, GGA-PBE.

Unit cell a=5.8581 b=5.8581 c=5.8581 alpha=90.00 beta=90.00 gamma=90.00
Space group Fm-3m (No. 225)
Inequivalent atoms, fractional coordinates:
Co 0.2500 0.2500 0.2500
Ag 0.0000 0.0000 0.0000
P 0.0000 0.0000 0.5000

Calculated values
The total energy comes out at -5.34 eV per atom.

Record 16
Co2AgP: relaxed, GGA-PBE.

Unit cell a=6.5079 b=6.5079 c=5.1272 alpha=90.00 beta=90.00 gamma=90.00
Space group I-42d (No. 122)
Inequivalent atoms, fractional coordinates:
Co 0.1845 0.2500 0.1250
Ag 0.0000 0.0000 0.5000
P 0.0000 0.0000 0.0000

Calculated values
The total energy comes out at -5.47 eV per atom.

Record 17
CoAg2P: relaxed, GGA-PBE.

Unit cell a=2.8312 b=3.4210 c=13.1817 alpha=90.00 beta=90.00 gamma=90.00
Space group Immm (No. 71)
Inequivalent atoms, fractional coordinates:
Co 0.0000 0.0000 0.0000
Ag 0.0000 0.5000 0.1784
P 0.0000 0.0000 0.5000

Calculated values
The total energy comes out at -4.44 eV per atom.

Record 18
Co2AgP: relaxed, GGA-PBE.

Unit cell a=2.7093 b=2.7093 c=7.5005 alpha=90.00 beta=90.00 gamma=90.00
Space group P4mm (No. 99)
Inequivalent atoms, fractional coordinates:
Co 0.0000 0.0000 0.0000
Co 0.5000 0.5000 0.2186
Ag 0.5000 0.5000 0.7317
P 0.0000 0.0000 0.3899

Calculated values
The total energy comes out at -5.46 eV per atom.

Record 19
Co2AgP: relaxed, GGA-PBE.

Unit cell a=3.9503 b=2.7790 c=9.9295 alpha=90.00 beta=90.00 gamma=90.00
Space group Amm2 (No. 38)
Inequivalent atoms, fractional coordinates:
Co 0.0000 0.0000 0.0000
Co 0.5000 0.0000 0.4071
Ag 0.0000 0.0000 0.7433
P 0.5000 0.0000 0.0864

Calculated values
The total energy comes out at -5.47 eV per atom.

Record 20
CoAg2P: relaxed, GGA-PBE.

Unit cell a=2.8482 b=2.8482 c=26.7647 alpha=90.00 beta=90.00 gamma=120.00
Space group R-3m (No. 166, hexagonal axes)
Inequivalent atoms, fractional coordinates:
Co 0.0000 0.0000 0.0000
Ag 0.0000 0.0000 0.2510
P 0.0000 0.0000 0.5000

Calculated values
The total energy comes out at -4.06 eV per atom.

Record 21
Co2AgP: relaxed, GGA-PBE.

Unit cell a=3.6751 b=3.6751 c=7.6539 alpha=90.00 beta=90.00 gamma=90.00
Space group I-4m2 (No. 119)
Inequivalent atoms, fractional coordinates:
Co 0.0000 0.0000 0.0000
Co 0.0000 0.5000 0.2500
Ag 0.0000 0.0000 0.5000
P 0.0000 0.5000 0.7500

Calculated values
The total energy comes out at -5.27 eV per atom.

Record 22
CoAg2P: relaxed, GGA-PBE.

Unit cell a=5.2726 b=9.6689 c=2.8593 alpha=90.00 beta=121.28 gamma=90.00
Space group C2/m (No. 12)
Inequivalent atoms, fractional coordinates:
Co 0.0000 0.0000 0.0000
Ag 0.2500 0.2500 0.5000
P 0.0000 0.5000 0.0000

Calculated values
The total energy comes out at -4.11 eV per atom.

Record 23
CoAg2P: relaxed, GGA-PBE.

Unit cell a=2.7264 b=2.7264 c=8.4868 alpha=90.00 beta=90.00 gamma=90.00
Space group P4/mmm (No. 123)
Inequivalent atoms, fractional coordinates:
Co 0.0000 0.0000 0.0000
Ag 0.5000 0.5000 0.2354
P 0.0000 0.0000 0.5000

Calculated values
The total energy comes out at -4.09 eV per atom.

Record 24
CoAg2P: relaxed, GGA-PBE.

Unit cell a=3.7915 b=3.7915 c=8.5724 alpha=90.00 beta=90.00 gamma=90.00
Space group I4/mmm (No. 139)
Inequivalent atoms, fractional coordinates:
Co 0.0000 0.0000 0.0000
Ag 0.0000 0.5000 0.2500
P 0.0000 0.0000 0.5000

Calculated values
The total energy comes out at -4.11 eV per atom.

Record 25
Co2AgP: relaxed, GGA-PBE.

Unit cell a=2.7620 b=2.7620 c=23.2594 alpha=90.00 beta=90.00 gamma=120.00
Space group R-3m (No. 166, hexagonal axes)
Inequivalent atoms, fractional coordinates:
Co 0.0000 0.0000 0.2341
Ag 0.0000 0.0000 0.0000
P 0.0000 0.0000 0.5000

Calculated values
The total energy comes out at -5.59 eV per atom.

Record 26
CoAg2P: relaxed, GGA-PBE.

Unit cell a=3.8459 b=3.4731 c=5.1158 alpha=90.00 beta=111.81 gamma=90.00
Space group Pm (No. 6)
Inequivalent atoms, fractional coordinates:
Co 0.0000 0.0000 0.0000
Ag 0.2851 0.0000 0.5671
Ag 0.6065 0.5000 0.2146
P 0.8805 0.5000 0.7600

Calculated values
The total energy comes out at -4.39 eV per atom.

Record 27
CoAg2P2: relaxed, GGA-PBE.

Unit cell a=5.6874 b=5.6874 c=4.8465 alpha=90.00 beta=90.00 gamma=90.00
Space group P4/mbm (No. 127)
Inequivalent atoms, fractional coordinates:
Co 0.0000 0.0000 0.0000
Ag 0.2293 0.2707 0.5000
P 0.1384 0.3616 0.0000

Calculated values
Its energy above the most stable polymorph in this dataset is 0 meV per atom.

Record 28
Co2AgP: relaxed, GGA-PBE.

Unit cell a=2.7690 b=3.0074 c=13.1632 alpha=90.00 beta=90.00 gamma=90.00
Space group Imm2 (No. 44)
Inequivalent atoms, fractional coordinates:
Co 0.0000 0.0000 0.0000
Co 0.0000 0.5000 0.3211
Ag 0.0000 0.0000 0.6418
P 0.0000 0.5000 0.8864

Calculated values
The total energy comes out at -5.59 eV per atom.

Record 29
Co2AgP: relaxed, GGA-PBE.

Unit cell a=7.8348 b=2.8335 c=5.0991 alpha=90.00 beta=93.17 gamma=90.00
Space group Cm (No. 8)
Inequivalent atoms, fractional coordinates:
Co 0.0000 0.0000 0.0000
Co 0.2166 0.5000 0.2509
Ag 0.4538 0.0000 0.5337
P 0.2797 0.0000 0.9520

Calculated values
The total energy comes out at -5.49 eV per atom.

Record 30
CoAg2P: relaxed, GGA-PBE.

Unit cell a=2.8658 b=4.0363 c=5.3514 alpha=90.00 beta=90.00 gamma=90.00
Space group Pmmm (No. 47)
Inequivalent atoms, fractional coordinates:
Co 0.0000 0.0000 0.0000
Ag 0.5000 0.5000 0.2467
P 0.0000 0.0000 0.5000

Calculated values
The total energy comes out at -4.09 eV per atom.

For each record above, in turn, the calculated D(E_F) values are 24.310 9.381 4.086 5.621 5.617 3.908 8.771 8.762 7.938 9.042 10.070 8.258 4.192 2.032 23.279 5.446 5.139 3.938 6.793 10.228 8.036 7.277 2.805 11.033 10.586 1.931 3.569 7.444 7.282 4.769 states/eV per cell.
For each record above, in turn, the calculated total magnetization values are 0.15 1.39 0.50 0.74 1.03 0.39 0.43 0.36 0.39 0.06 0.67 0.66 0.00 0.18 0.48 0.00 0.09 0.68 0.56 0.47 0.72 0.37 0.48 0.37 0.24 0.00 0.00 0.06 0.37 0.44 μB/atom.